Entry from Alexandria via LeMat-Bulk: a geometry-optimized CdP2SF structure (GGA-PBEsol). Values from VASP.

```
&SYSTEM
  ibrav = 0, nat = 5, ntyp = 4
/
ATOMIC_SPECIES
Cd 112.41 Cd.upf
P 30.97 P.upf
S 32.06 S.upf
F 19.00 F.upf
CELL_PARAMETERS angstrom
4.000 0.000 0.000
0.000 4.000 0.000
0.000 0.000 5.587
ATOMIC_POSITIONS crystal
Cd 0.000 0.000 0.000
P 0.000 0.500 0.500
P 0.500 0.000 0.500
S 0.500 0.500 0.000
F 0.500 0.500 0.500
```

Summary:
Density of states at the Fermi level   0.826 states/eV per atom
Energy relative to the elements, uncorrected   0.514 eV per atom
Energy above the most stable polymorph in this dataset   0.0 meV per atom
Space-group type   P4/mmm, No. 123